[1]
Below is Ba3Os after structural relaxation, with properties calculated at the GGA-PBEsol level.

The structure in POSCAR format:
```
Ba3Os
1.0
3.760 0.000 0.000
0.000 5.566 0.000
0.000 0.000 15.568
Ba Os
6 2
Cartesian
0.000 0.000 0.000
0.000 2.783 2.424
0.000 2.783 13.144
1.880 0.000 5.360
1.880 0.000 10.208
1.880 2.783 7.784
0.000 0.000 7.784
1.880 2.783 0.000
```

Density of states at the Fermi level, states/eV per atom: 1.2515
E_tot, eV/cell: -32.8

---

[2]
Below is Cs4BiSbCl12 after structural relaxation, with properties calculated at the GGA-PBEsol level.

The structure in POSCAR format:
```
Cs4BiSbCl12
1.0
7.455 0.000 0.000
0.000 7.455 0.000
0.000 0.000 10.245
Cs Bi Sb Cl
4 1 1 12
Cartesian
0.000 3.727 2.334
0.000 3.727 7.911
3.727 0.000 2.334
3.727 0.000 7.911
0.000 0.000 0.000
3.727 3.727 5.122
0.000 0.000 2.705
0.000 0.000 7.540
1.905 1.905 0.000
1.905 5.550 0.000
2.027 2.027 5.122
2.027 5.428 5.122
3.727 3.727 2.725
3.727 3.727 7.519
5.428 2.027 5.122
5.428 5.428 5.122
5.550 1.905 0.000
5.550 5.550 0.000
```

E_form (uncorrected), eV/atom: -1.41

---

[3]
Below is Tl2Re after structural relaxation, with properties calculated at the GGA-PBEsol level.

The structure in POSCAR format:
```
Tl2Re
1.0
2.962 0.000 0.000
-1.481 2.565 0.000
0.000 0.000 8.571
Tl Re
2 1
Cartesian
0.000 1.710 2.544
1.481 0.855 6.027
0.000 0.000 0.000
```

Density of states at the Fermi level, states/eV per atom: 0.7388
E_tot, eV/cell: -15.8

---

[4]
Below is Ca2YMg2 after structural relaxation, with properties calculated at the GGA-PBEsol level.

The structure in POSCAR format:
```
Ca2YMg2
1.0
4.665 0.000 0.000
0.000 4.665 0.000
0.000 0.000 14.738
Ca Y Mg
4 2 4
Cartesian
0.000 2.333 3.684
0.000 2.333 11.053
2.333 0.000 3.684
2.333 0.000 11.053
0.000 0.000 0.000
2.333 2.333 7.369
0.000 0.000 5.998
0.000 0.000 8.740
2.333 2.333 1.371
2.333 2.333 13.367
```

Density of states at the Fermi level, states/eV per atom: 1.3711
E_tot, eV/cell: -26.8

---

[5]
Below is Be2AuSe after structural relaxation, with properties calculated at the GGA-PBEsol level.

The structure in POSCAR format:
```
Be2AuSe
1.0
4.181 0.000 0.000
0.000 4.181 0.000
0.000 0.000 3.152
Be Au Se
2 1 1
Cartesian
0.000 2.090 0.000
2.090 0.000 0.000
0.000 0.000 1.576
2.090 2.090 1.576
```

E_form (uncorrected), eV/atom: 0.27
Density of states at the Fermi level, states/eV per atom: 0.3017

---

[6]
Below is LiAgCl2 after structural relaxation, with properties calculated at the GGA-PBEsol level.

The structure in POSCAR format:
```
LiAgCl2
1.0
3.573 0.000 0.000
0.000 3.573 0.000
0.000 0.000 6.182
Li Ag Cl
1 1 2
Cartesian
0.000 0.000 0.000
1.787 1.787 3.206
0.000 0.000 2.382
1.787 1.787 5.748
```

E_form (uncorrected), eV/atom: -1.07
Density of states at the Fermi level, states/eV per atom: 0.0000